Material: Lu4B3C4
Method: DFT, PBEsol
State: optimized geometry

DFT formation energy, eV per atom: -0.5807
SG: P-1
Calculated volume, A^3/atom: 12.25
Total magnetic moment, μB per formula unit: 0.0

Geometry as CIF:
```
data_Lu4B3C4
_space_group_name_H-M_alt 'P 1'
_space_group_IT_number 1
_cell_length_a 3.3703
_cell_length_b 3.4574
_cell_length_c 11.6917
_cell_angle_alpha 92.80
_cell_angle_beta 97.98
_cell_angle_gamma 90.02
loop_
_space_group_symop_operation_xyz
'x,y,z'
loop_
_atom_site_label
_atom_site_fract_x
_atom_site_fract_y
_atom_site_fract_z
Lu1 0.0764 0.4449 0.1405
Lu2 0.3227 0.0240 0.6513
Lu3 0.6773 0.9760 0.3487
Lu4 0.9236 0.5551 0.8595
B1 0.2305 0.4937 0.4601
B2 0.5000 0.0000 0.0000
B3 0.7695 0.5063 0.5399
C1 0.1683 0.4726 0.3302
C2 0.4306 0.0614 0.8754
C3 0.5694 0.9386 0.1246
C4 0.8317 0.5274 0.6698
```